A geometry-optimized ZrCdSe2 structure. Source: Alexandria, functional PBE.

**E_form (uncorrected)**: -0.92 eV per atom
**Uncorrected energy**: -5.03 eV/atom
**Total magnetic moment**: 0.000 μB/atom

Lattice parameters (Å, degrees): 9.597 9.597 9.597 22.31 22.31 22.31
Element x y z (fractional)
Cd (0.000, 0.000, 0.000)
Zr (0.500, 0.500, 0.500)
Se (0.892, 0.892, 0.892)
Se (0.108, 0.108, 0.108)